Below is a relaxed PmPr2SmTm crystal, with properties calculated at the PBE-GGA level.

abc: 6.7379 8.2683 6.2868
angles: 90.34 90.00 90.00
With the nearest neighbours (Å) after each atom.
Sites, in units of the cell vectors:
Pm 0.5768 0.0000 0.2500  2 Pr 3.13, 2 Sm 3.26, 2 Pm 3.31
Pm 0.4232 0.0000 0.7500  2 Pr 3.13, 2 Sm 3.26, 2 Pm 3.31
Pr 0.6964 0.6941 0.7525  1 Pm 3.13, 1 Pr 3.21
Pr 0.6964 0.3059 0.7475  1 Pm 3.13, 1 Pr 3.21
Pr 0.3036 0.6941 0.2525  1 Pm 3.13, 1 Pr 3.21
Pr 0.3036 0.3059 0.2475  1 Pm 3.13, 1 Pr 3.21
Sm 0.0000 0.0000 0.0000  2 Sm 3.14, 2 Pm 3.26
Sm 0.0000 0.0000 0.5000  2 Sm 3.14, 2 Pm 3.26
Tm 0.1603 0.5000 0.7500  6 Pr 3.51-3.66, 2 Tm 3.81
Tm 0.8397 0.5000 0.2500  6 Pr 3.51-3.66, 2 Tm 3.81

Output
Crystal system: monoclinic
Magnetic moment (μB/cell): 0.0
Total energy (eV per formula unit): -22.20
Mass density (Mg/m³): 7.1